VASP calculation (PBE) on crystalline LaRu3Pt at its relaxed geometry.

Computed properties:
E_tot, eV for the cell shown: -34.0
Relative energy among the computed polymorphs, meV per atom: 0
Energy of formation, eV/atom: 0.97

a b c (Å): 4.831 4.831 4.831
angles (deg): 90.00 90.00 90.00
Positions (direct):
Ru 0.000 0.500 0.000
Ru 0.000 0.000 0.500
Ru 0.500 0.000 0.000
Pt 0.000 0.000 0.000
La 0.500 0.500 0.500